! La6Te5C | the Alexandria database | PBE-GGA | optimized geometry; values from VASP
! Raw formation energy: -15.945 eV/f.u.
&SYSTEM
  ibrav = 0, nat = 12, ntyp = 3
/
ATOMIC_SPECIES
La 138.91 La.upf
Te 127.60 Te.upf
C 12.01 C.upf
ATOMIC_POSITIONS angstrom
La -0.152 1.946 5.224
La 0.961 0.000 1.972
La -0.152 -1.946 5.224
La 5.409 1.946 2.064
La 4.296 0.000 5.316
La 5.409 -1.946 2.064
Te 3.912 4.293 0.000
Te 2.629 2.200 3.644
Te 3.912 0.000 0.000
Te 2.629 -2.200 3.644
Te 3.912 -4.293 0.000
C -1.283 0.000 3.644
CELL_PARAMETERS angstrom
3.912 -6.717 0.000
3.912 6.717 0.000
-2.566 0.000 7.288

! PaFeRe | the Alexandria database | PBE-GGA | optimized geometry; values from VASP
! ΔH_f (0 K): 0.092 eV per atom
! Energy above the lowest structure with this stoichiometry: 230 meV/atom
&SYSTEM
  ibrav = 0, nat = 3, ntyp = 3
/
ATOMIC_SPECIES
Pa 231.04 Pa.upf
Fe 55.84 Fe.upf
Re 186.21 Re.upf
ATOMIC_POSITIONS angstrom
Pa 0.000 0.000 0.000
Fe 0.000 2.259 2.442
Re 1.956 1.129 1.850
CELL_PARAMETERS angstrom
3.913 0.000 0.000
-1.956 3.388 0.000
0.000 0.000 4.213

! HoTlCdPd | the Alexandria database | PBE-GGA | optimized geometry; values from VASP
! ΔH_f (0 K): -0.412 eV per atom
&SYSTEM
  ibrav = 0, nat = 16, ntyp = 4
/
ATOMIC_SPECIES
Ho 164.93 Ho.upf
Tl 204.38 Tl.upf
Cd 112.41 Cd.upf
Pd 106.42 Pd.upf
ATOMIC_POSITIONS angstrom
Ho 0.000 0.000 0.000
Ho 0.000 3.523 3.523
Ho 3.523 0.000 3.523
Ho 3.523 3.523 0.000
Tl 1.761 1.761 5.284
Tl 1.761 5.284 1.761
Tl 5.284 1.761 1.761
Tl 5.284 5.284 5.284
Cd 0.000 0.000 3.523
Cd 0.000 3.523 0.000
Cd 3.523 0.000 0.000
Cd 3.523 3.523 3.523
Pd 1.761 1.761 1.761
Pd 1.761 5.284 5.284
Pd 5.284 1.761 5.284
Pd 5.284 5.284 1.761
CELL_PARAMETERS angstrom
7.046 0.000 0.000
0.000 7.046 0.000
0.000 0.000 7.046

! NpGe2Pb | the Alexandria database | PBE-GGA | optimized geometry; values from VASP
! ΔH_f (0 K): -0.028 eV per atom
! Energy above the lowest structure with this stoichiometry: 0 meV/atom
&SYSTEM
  ibrav = 0, nat = 4, ntyp = 3
/
ATOMIC_SPECIES
Np 237.00 Np.upf
Ge 72.64 Ge.upf
Pb 207.20 Pb.upf
ATOMIC_POSITIONS angstrom
Np 0.000 0.000 0.000
Ge 0.000 2.305 2.085
Ge 2.305 0.000 2.085
Pb 2.305 2.305 0.000
CELL_PARAMETERS angstrom
4.609 0.000 0.000
0.000 4.609 0.000
0.000 0.000 4.170

! CuTePb2S5 | the Alexandria database | PBE-GGA | optimized geometry; values from VASP
! Raw formation energy: -1.820 eV/f.u.
&SYSTEM
  ibrav = 0, nat = 18, ntyp = 4
/
ATOMIC_SPECIES
Cu 63.55 Cu.upf
Te 127.60 Te.upf
Pb 207.20 Pb.upf
S 32.06 S.upf
ATOMIC_POSITIONS angstrom
Cu 1.950 7.691 6.437
Cu 1.950 -7.691 0.000
Te 1.950 3.746 1.331
Te 1.950 -3.746 7.768
Pb 1.950 2.395 5.002
Pb 1.950 1.299 9.417
Pb 1.950 -1.299 2.979
Pb 1.950 -2.395 11.440
S 1.950 8.507 10.899
S 1.950 6.192 0.809
S 1.950 5.303 5.981
S 1.950 4.631 9.636
S 1.950 0.812 1.151
S 1.950 -0.812 7.589
S 1.950 -4.631 3.199
S 1.950 -5.303 12.418
S 1.950 -6.192 7.247
S 1.950 -8.507 4.462
CELL_PARAMETERS angstrom
1.950 -8.656 0.000
1.950 8.656 0.000
0.000 0.000 12.875

! AlBiF | the Alexandria database | PBE-GGA | optimized geometry; values from VASP
! Raw formation energy: -3.651 eV/f.u.
&SYSTEM
  ibrav = 0, nat = 12, ntyp = 3
/
ATOMIC_SPECIES
Al 26.98 Al.upf
Bi 208.98 Bi.upf
F 19.00 F.upf
ATOMIC_POSITIONS angstrom
Al 0.001 2.506 0.000
Al 6.459 11.147 0.000
Al 3.231 4.321 1.659
Al 3.229 9.333 1.659
Bi 0.957 5.136 0.000
Bi 2.273 11.963 1.659
Bi 4.187 1.690 1.659
Bi 5.503 8.517 0.000
F 1.196 1.290 0.000
F 2.034 8.117 1.659
F 4.426 5.537 1.659
F 5.264 12.363 0.000
CELL_PARAMETERS angstrom
6.460 0.000 0.000
0.000 13.654 0.000
0.000 0.000 3.319

Magnetization list, top to bottom, in μB/cell: 0.00 0.00 0.00 3.70 0.00 0.00
Calculated density list, top to bottom, in g cm⁻³: 6.43 14.07 11.17 11.05 5.85 5.79